SrWSe2N: PBEsol geometry, meta-GGA SCAN.

It has space group P4/mmm (No. 123), with a = 5.103 Å, b = 5.103 Å, c = 3.864 Å, α = 90.00°, β = 90.00° and γ = 90.00°. The inequivalent atoms are Sr at (0.000, 0.000, 0.000), W at (0.500, 0.500, 0.500), Se at (0.000, 0.500, 0.500) and N at (0.500, 0.500, 0.000).

The calculation puts the density of states at the Fermi level at 1.40 states/eV per cell. The formation energy from raw total energies comes out at -772 meV/atom.

KCdCu: PBEsol geometry, meta-GGA SCAN.

It has space group I4mm (No. 107), with a = 3.579 Å, b = 3.579 Å, c = 12.028 Å, α = 90.00°, β = 90.00° and γ = 90.00°. The inequivalent atoms are K at (0.000, 0.000, 0.000), Cd at (0.000, 0.000, 0.726) and Cu at (0.000, 0.000, 0.276).

The formation energy from the elements is 176 meV per atom. The calculation puts the density of states at the Fermi level at 1.55 states/eV per cell. The calculation puts the distance to the lowest polymorph of the same formula at 0.0000 eV per atom.

YTcSe2: PBEsol geometry, meta-GGA SCAN.

It has space group P2/m (No. 10), with a = 3.543 Å, b = 3.971 Å, c = 5.587 Å, α = 90.00°, β = 94.57° and γ = 90.00°. The inequivalent atoms are Y at (0.000, 0.000, 0.000), Tc at (0.500, 0.000, 0.500) and Se at (0.352, 0.500, 0.734).

The calculation puts the density of states at the Fermi level at 1.46 states/eV per cell. The calculation puts the distance to the lowest polymorph of the same formula at 0.0885 eV per atom. The formation energy from raw total energies comes out at -610 meV/atom.

Ti3N2O3: PBEsol geometry, meta-GGA SCAN.

It has space group Cmc2_1 (No. 36), with a = 3.741 Å, b = 9.829 Å, c = 9.920 Å, α = 90.00°, β = 90.00° and γ = 90.00°. The inequivalent atoms are Ti at (0.000, 0.134, 0.000), Ti at (0.000, 0.136, 0.608), Ti at (0.000, 0.196, 0.304), N at (0.000, 0.047, 0.439), N at (0.000, 0.302, 0.132), O at (0.000, 0.044, 0.177), O at (0.000, 0.245, 0.817) and O at (0.000, 0.315, 0.480).

The calculation puts the density of states at the Fermi level at 0.00 states/eV per cell. The calculation puts the distance to the lowest polymorph of the same formula at 0.0479 eV per atom. The formation energy from raw total energies comes out at -2564 meV/atom.